Density functional theory data (PBE) for a relaxed In4AgBiS8 crystal.

Geometry as POSCAR:
```
In4AgBiS8
1.0
7.8536 0.0000 0.0000
3.9268 6.8014 0.0000
3.9268 2.2671 6.4411
S In Bi Ag
8 4 1 1
direct
0.2510 0.2510 0.7276
0.2510 0.7704 0.7276
0.7482 0.7482 0.2741
0.2294 0.7482 0.2741
0.2422 0.2422 0.2733
0.7585 0.7585 0.7246
0.7482 0.2294 0.2741
0.7704 0.2510 0.7276
0.4841 0.0068 0.5023
0.0068 0.4841 0.5023
0.0068 0.0068 0.5023
0.6237 0.6237 0.1290
0.0064 0.0064 0.9807
0.3732 0.3732 0.8804
```

The total energy is -0.1502 Ha/atom. The total magnetic moment comes out at 0.00 μB per cell. As for the uncorrected formation energy: -0.466 eV per atom. Its symmetry is R3m.



Density functional theory data (PBE) for a relaxed InAg3Bi3Se8 crystal.

Geometry as POSCAR:
```
InAg3Bi3Se8
1.0
-5.8672 2.0327 -5.4266
-1.2173 -6.2471 5.2418
0.1524 7.6977 2.7186
Bi Se Ag In
3 8 3 1
direct
0.0000 0.5000 0.5000
0.5000 0.0000 0.5000
0.5000 0.5000 0.5000
0.2418 0.4837 0.7521
0.2418 0.0106 0.7521
0.2313 0.9894 0.2479
0.2450 0.4901 0.2354
0.7582 0.5163 0.2479
0.7582 0.9894 0.2479
0.7550 0.5099 0.7646
0.7687 0.0106 0.7521
0.0000 0.5000 0.0000
0.5000 0.5000 0.0000
0.0000 0.0000 0.0000
0.0000 0.0000 0.5000
```

The total energy is -0.1350 Ha/atom. The total magnetic moment comes out at 0.00 μB per cell. As for the uncorrected formation energy: -0.287 eV per atom. Its symmetry is R-3m.



Density functional theory data (PBE) for a relaxed In2AgSnBi crystal.

Geometry as POSCAR:
```
In2AgSnBi
1.0
-0.1760 -5.2473 -0.0558
4.7786 -0.1947 3.2387
-2.9441 0.0525 4.3472
Bi In Sn Ag
1 2 1 1
direct
0.0000 0.5000 0.0000
0.5000 0.0000 0.0000
0.0000 0.0000 0.5000
0.5000 0.5000 0.5000
0.0000 0.0000 0.0000
```

The total energy is -0.1073 Ha/atom. The total magnetic moment comes out at 0.00 μB per cell. The value obtained for the energy of formation is 0.322 eV per atom. Its symmetry is P4/mmm.



Density functional theory data (PBE) for a relaxed In2Ag7Sn2Bi crystal.

Geometry as POSCAR:
```
In2Ag7Sn2Bi
1.0
-3.7940 -2.2196 0.6879
1.3313 -0.8422 4.1609
-8.2657 8.2348 8.9324
Ag Bi In Sn
7 1 2 2
direct
0.8395 0.3394 0.1625
0.3394 0.8395 0.1625
0.1605 0.6606 0.8375
0.6606 0.1605 0.8375
0.2435 0.2435 0.4999
0.7565 0.7565 0.5001
0.5000 0.5000 0.0000
0.0000 0.0000 0.0000
0.1846 0.1846 0.3156
0.8154 0.8154 0.6844
0.3182 0.3182 0.6815
0.6818 0.6818 0.3185
```

The total energy is -0.1121 Ha/atom. The total magnetic moment comes out at 0.00 μB per cell. The value obtained for the energy of formation is 0.060 eV per atom. Its symmetry is C2/m.



Please write out number 2 again, unchanged.
Density functional theory data (PBE) for a relaxed InAg3Bi3Se8 crystal.

Geometry as POSCAR:
```
InAg3Bi3Se8
1.0
-5.8672 2.0327 -5.4266
-1.2173 -6.2471 5.2418
0.1524 7.6977 2.7186
Bi Se Ag In
3 8 3 1
direct
0.0000 0.5000 0.5000
0.5000 0.0000 0.5000
0.5000 0.5000 0.5000
0.2418 0.4837 0.7521
0.2418 0.0106 0.7521
0.2313 0.9894 0.2479
0.2450 0.4901 0.2354
0.7582 0.5163 0.2479
0.7582 0.9894 0.2479
0.7550 0.5099 0.7646
0.7687 0.0106 0.7521
0.0000 0.5000 0.0000
0.5000 0.5000 0.0000
0.0000 0.0000 0.0000
0.0000 0.0000 0.5000
```

The total energy is -0.1350 Ha/atom. The total magnetic moment comes out at 0.00 μB per cell. As for the uncorrected formation energy: -0.287 eV per atom. Its symmetry is R-3m.